1.
# meta-GGA SCAN Li3MgGa, PBEsol geometry
data_Li3MgGa
_chemical_formula_sum 'Li3 Mg1 Ga1'
_space_group_name_H-M_alt 'P m -3 m'
_space_group_IT_number 221
_space_group_name_Hall '-P 4 2 3'
_cell_length_a 4.755
_cell_length_b 4.755
_cell_length_c 4.755
_cell_angle_alpha 90.00
_cell_angle_beta 90.00
_cell_angle_gamma 90.00
loop_
_atom_site_label
_atom_site_type_symbol
_atom_site_fract_x
_atom_site_fract_y
_atom_site_fract_z
Li1 Li 0.000 0.000 0.500
Mg1 Mg 0.500 0.500 0.500
Ga1 Ga 0.000 0.000 0.000
# * calculated total energy: -5.55 eV per atom
# * energy of formation: 0.148 eV/atom

***

2.
# meta-GGA SCAN Li2MgGa2, PBEsol geometry
data_Li2MgGa2
_chemical_formula_sum 'Li4 Mg2 Ga4'
_space_group_name_H-M_alt 'P 4/m b m'
_space_group_IT_number 127
_space_group_name_Hall '-P 4 2ab'
_cell_length_a 7.404
_cell_length_b 7.404
_cell_length_c 3.078
_cell_angle_alpha 90.00
_cell_angle_beta 90.00
_cell_angle_gamma 90.00
loop_
_atom_site_label
_atom_site_type_symbol
_atom_site_fract_x
_atom_site_fract_y
_atom_site_fract_z
Li1 Li 0.176 0.324 0.000
Mg1 Mg 0.000 0.000 0.500
Ga1 Ga 0.122 0.622 0.500
# * calculated total energy: -8.74 eV per atom
# * energy of formation: -0.254 eV/atom

***

3.
# meta-GGA SCAN LiMgGa3, PBEsol geometry
data_LiMgGa3
_chemical_formula_sum 'Li1 Mg1 Ga3'
_space_group_name_H-M_alt 'P m -3 m'
_space_group_IT_number 221
_space_group_name_Hall '-P 4 2 3'
_cell_length_a 5.032
_cell_length_b 5.032
_cell_length_c 5.032
_cell_angle_alpha 90.00
_cell_angle_beta 90.00
_cell_angle_gamma 90.00
loop_
_atom_site_label
_atom_site_type_symbol
_atom_site_fract_x
_atom_site_fract_y
_atom_site_fract_z
Li1 Li 0.000 0.000 0.000
Mg1 Mg 0.500 0.500 0.500
Ga1 Ga 0.000 0.500 0.500
# * calculated total energy: -10.87 eV per atom
# * energy of formation: 0.407 eV/atom

***

4.
# meta-GGA SCAN Li2MgGa, PBEsol geometry
data_Li2MgGa
_chemical_formula_sum 'Li8 Mg4 Ga4'
_space_group_name_H-M_alt 'F -4 3 m'
_space_group_IT_number 216
_space_group_name_Hall 'F -4 2 3'
_cell_length_a 6.451
_cell_length_b 6.451
_cell_length_c 6.451
_cell_angle_alpha 90.00
_cell_angle_beta 90.00
_cell_angle_gamma 90.00
loop_
_atom_site_label
_atom_site_type_symbol
_atom_site_fract_x
_atom_site_fract_y
_atom_site_fract_z
Li1 Li 0.000 0.000 0.000
Li2 Li 0.250 0.250 0.250
Mg1 Mg 0.250 0.250 0.750
Ga1 Ga 0.000 0.000 0.500
# * calculated total energy: -6.78 eV per atom
# * energy of formation: -0.255 eV/atom

***

5.
# meta-GGA SCAN Li2MgGa, PBEsol geometry
data_Li2MgGa
_chemical_formula_sum 'Li8 Mg4 Ga4'
_space_group_name_H-M_alt 'I -4 2 d'
_space_group_IT_number 122
_space_group_name_Hall 'I -4 2bw'
_cell_length_a 7.363
_cell_length_b 7.363
_cell_length_c 5.526
_cell_angle_alpha 90.00
_cell_angle_beta 90.00
_cell_angle_gamma 90.00
loop_
_atom_site_label
_atom_site_type_symbol
_atom_site_fract_x
_atom_site_fract_y
_atom_site_fract_z
Li1 Li 0.226 0.250 0.125
Mg1 Mg 0.000 0.000 0.500
Ga1 Ga 0.000 0.000 0.000
# * calculated total energy: -6.53 eV per atom
# * energy of formation: -0.008 eV/atom

***

6.
# meta-GGA SCAN Li2Mg2Ga, PBEsol geometry
data_Li2Mg2Ga
_chemical_formula_sum 'Li4 Mg4 Ga2'
_space_group_name_H-M_alt 'P 4/m b m'
_space_group_IT_number 127
_space_group_name_Hall '-P 4 2ab'
_cell_length_a 6.631
_cell_length_b 6.631
_cell_length_c 4.112
_cell_angle_alpha 90.00
_cell_angle_beta 90.00
_cell_angle_gamma 90.00
loop_
_atom_site_label
_atom_site_type_symbol
_atom_site_fract_x
_atom_site_fract_y
_atom_site_fract_z
Li1 Li 0.137 0.363 0.000
Mg1 Mg 0.174 0.674 0.500
Ga1 Ga 0.000 0.000 0.000
# * calculated total energy: -6.27 eV per atom
# * energy of formation: -0.057 eV/atom

***

7.
# meta-GGA SCAN LiMgGa2Ni, PBEsol geometry
data_LiMgGa2Ni
_chemical_formula_sum 'Li1 Mg1 Ga2 Ni1'
_space_group_name_H-M_alt 'P 4/m m m'
_space_group_IT_number 123
_space_group_name_Hall '-P 4 2'
_cell_length_a 4.353
_cell_length_b 4.353
_cell_length_c 4.114
_cell_angle_alpha 90.00
_cell_angle_beta 90.00
_cell_angle_gamma 90.00
loop_
_atom_site_label
_atom_site_type_symbol
_atom_site_fract_x
_atom_site_fract_y
_atom_site_fract_z
Li1 Li 0.000 0.000 0.000
Mg1 Mg 0.500 0.500 0.500
Ga1 Ga 0.000 0.500 0.000
Ni1 Ni 0.000 0.000 0.500
# * calculated total energy: -10.93 eV per atom
# * energy of formation: 0.311 eV/atom

***

8.
# meta-GGA SCAN LiMg30GaO32, PBEsol geometry
data_LiMg30GaO32
_chemical_formula_sum 'Li1 Mg30 Ga1 O32'
_space_group_name_H-M_alt 'P 4/m m m'
_space_group_IT_number 123
_space_group_name_Hall '-P 4 2'
_cell_length_a 8.412
_cell_length_b 8.412
_cell_length_c 8.417
_cell_angle_alpha 90.00
_cell_angle_beta 90.00
_cell_angle_gamma 90.00
loop_
_atom_site_label
_atom_site_type_symbol
_atom_site_fract_x
_atom_site_fract_y
_atom_site_fract_z
Li1 Li 0.000 0.000 0.000
Mg1 Mg 0.000 0.249 0.245
Mg2 Mg 0.000 0.500 0.000
Mg3 Mg 0.000 0.500 0.500
Mg4 Mg 0.247 0.247 0.000
Mg5 Mg 0.250 0.500 0.249
Mg6 Mg 0.251 0.251 0.500
Mg7 Mg 0.500 0.500 0.000
Mg8 Mg 0.500 0.500 0.500
Ga1 Ga 0.000 0.000 0.500
O1 O 0.000 0.000 0.266
O2 O 0.000 0.244 0.500
O3 O 0.000 0.254 0.000
O4 O 0.000 0.500 0.253
O5 O 0.249 0.500 0.500
O6 O 0.250 0.250 0.251
O7 O 0.251 0.500 0.000
O8 O 0.500 0.500 0.251
# * ΔE_f (raw): -189.37 eV per formula unit
# * calculated total energy: -8.70 eV per atom

***

9.
# meta-GGA SCAN NaLi2MnGa, PBEsol geometry
data_NaLi2MnGa
_chemical_formula_sum 'Na1 Li2 Mn1 Ga1'
_space_group_name_H-M_alt 'P 4/m m m'
_space_group_IT_number 123
_space_group_name_Hall '-P 4 2'
_cell_length_a 4.424
_cell_length_b 4.424
_cell_length_c 5.061
_cell_angle_alpha 90.00
_cell_angle_beta 90.00
_cell_angle_gamma 90.00
loop_
_atom_site_label
_atom_site_type_symbol
_atom_site_fract_x
_atom_site_fract_y
_atom_site_fract_z
Na1 Na 0.000 0.000 0.000
Li1 Li 0.000 0.500 0.000
Mn1 Mn 0.500 0.500 0.500
Ga1 Ga 0.000 0.000 0.500
# * calculated total energy: -8.11 eV per atom
# * energy of formation: 0.607 eV/atom

***

10.
# meta-GGA SCAN Li2Mn3GaO8, PBEsol geometry
data_Li2Mn3GaO8
_chemical_formula_sum 'Li6 Mn9 Ga3 O24'
_space_group_name_H-M_alt 'R -3 m'
_space_group_IT_number 166
_space_group_name_Hall '-R 3 2"'
_cell_length_a 5.6810
_cell_length_b 5.6810
_cell_length_c 14.3541
_cell_angle_alpha 90.00
_cell_angle_beta 90.00
_cell_angle_gamma 120.00
loop_
_atom_site_label
_atom_site_type_symbol
_atom_site_fract_x
_atom_site_fract_y
_atom_site_fract_z
Li1 Li 0.0000 0.0000 0.1233
Mn1 Mn 0.0000 0.5000 0.0000
Ga1 Ga 0.0000 0.0000 0.5000
O1 O 0.0000 0.0000 0.2633
O2 O 0.0298 0.5149 0.2574
# * ΔE_f (raw): -31.19 eV per formula unit
# * calculated total energy: -11.21 eV per atom

***

11.
# meta-GGA SCAN LiMnGaO2, PBEsol geometry
data_LiMnGaO2
_chemical_formula_sum 'Li1 Mn1 Ga1 O2'
_space_group_name_H-M_alt 'P 4/m m m'
_space_group_IT_number 123
_space_group_name_Hall '-P 4 2'
_cell_length_a 3.785
_cell_length_b 3.785
_cell_length_c 3.932
_cell_angle_alpha 90.00
_cell_angle_beta 90.00
_cell_angle_gamma 90.00
loop_
_atom_site_label
_atom_site_type_symbol
_atom_site_fract_x
_atom_site_fract_y
_atom_site_fract_z
Li1 Li 0.000 0.000 0.000
Mn1 Mn 0.500 0.500 0.500
Ga1 Ga 0.000 0.000 0.500
O1 O 0.000 0.500 0.000
# * ΔE_f (raw): -1.16 eV per formula unit
# * calculated total energy: -10.12 eV per atom

***

12.
# meta-GGA SCAN LiGaMoSe2, PBEsol geometry
data_LiGaMoSe2
_chemical_formula_sum 'Li1 Ga1 Mo1 Se2'
_space_group_name_H-M_alt 'P 4/m m m'
_space_group_IT_number 123
_space_group_name_Hall '-P 4 2'
_cell_length_a 4.717
_cell_length_b 4.717
_cell_length_c 4.209
_cell_angle_alpha 90.00
_cell_angle_beta 90.00
_cell_angle_gamma 90.00
loop_
_atom_site_label
_atom_site_type_symbol
_atom_site_fract_x
_atom_site_fract_y
_atom_site_fract_z
Li1 Li 0.000 0.000 0.000
Ga1 Ga 0.000 0.000 0.500
Mo1 Mo 0.500 0.500 0.500
Se1 Se 0.000 0.500 0.000
# * ΔE_f (raw): 2.43 eV per formula unit
# * calculated total energy: -18.27 eV per atom

***

13.
# meta-GGA SCAN Li3GaN, PBEsol geometry
data_Li3GaN
_chemical_formula_sum 'Li3 Ga1 N1'
_space_group_name_H-M_alt 'P m -3 m'
_space_group_IT_number 221
_space_group_name_Hall '-P 4 2 3'
_cell_length_a 3.950
_cell_length_b 3.950
_cell_length_c 3.950
_cell_angle_alpha 90.00
_cell_angle_beta 90.00
_cell_angle_gamma 90.00
loop_
_atom_site_label
_atom_site_type_symbol
_atom_site_fract_x
_atom_site_fract_y
_atom_site_fract_z
Li1 Li 0.000 0.000 0.500
Ga1 Ga 0.500 0.500 0.500
N1 N 0.000 0.000 0.000
# * ΔE_f (raw): -0.84 eV per formula unit
# * calculated total energy: -6.73 eV per atom

***

14.
# meta-GGA SCAN LiGaN2O, PBEsol geometry
data_LiGaN2O
_chemical_formula_sum 'Li1 Ga1 N2 O1'
_space_group_name_H-M_alt 'P 4/m m m'
_space_group_IT_number 123
_space_group_name_Hall '-P 4 2'
_cell_length_a 3.935
_cell_length_b 3.935
_cell_length_c 3.861
_cell_angle_alpha 90.00
_cell_angle_beta 90.00
_cell_angle_gamma 90.00
loop_
_atom_site_label
_atom_site_type_symbol
_atom_site_fract_x
_atom_site_fract_y
_atom_site_fract_z
Li1 Li 0.000 0.000 0.000
Ga1 Ga 0.500 0.500 0.500
N1 N 0.000 0.500 0.500
O1 O 0.500 0.500 0.000
# * ΔE_f (raw): 2.06 eV per formula unit
# * calculated total energy: -8.30 eV per atom

***

15.
# meta-GGA SCAN LiGaSeN2, PBEsol geometry
data_LiGaSeN2
_chemical_formula_sum 'Li1 Ga1 Se1 N2'
_space_group_name_H-M_alt 'P 4/m m m'
_space_group_IT_number 123
_space_group_name_Hall '-P 4 2'
_cell_length_a 3.671
_cell_length_b 3.671
_cell_length_c 4.842
_cell_angle_alpha 90.00
_cell_angle_beta 90.00
_cell_angle_gamma 90.00
loop_
_atom_site_label
_atom_site_type_symbol
_atom_site_fract_x
_atom_site_fract_y
_atom_site_fract_z
Li1 Li 0.000 0.000 0.000
Ga1 Ga 0.500 0.500 0.500
Se1 Se 0.000 0.000 0.500
N1 N 0.000 0.500 0.000
# * ΔE_f (raw): 7.00 eV per formula unit
# * calculated total energy: -10.08 eV per atom

***

16.
# meta-GGA SCAN NaLi3Ga, PBEsol geometry
data_NaLi3Ga
_chemical_formula_sum 'Na1 Li3 Ga1'
_space_group_name_H-M_alt 'P m -3 m'
_space_group_IT_number 221
_space_group_name_Hall '-P 4 2 3'
_cell_length_a 4.988
_cell_length_b 4.988
_cell_length_c 4.988
_cell_angle_alpha 90.00
_cell_angle_beta 90.00
_cell_angle_gamma 90.00
loop_
_atom_site_label
_atom_site_type_symbol
_atom_site_fract_x
_atom_site_fract_y
_atom_site_fract_z
Na1 Na 0.000 0.000 0.000
Li1 Li 0.000 0.500 0.500
Ga1 Ga 0.500 0.500 0.500
# * calculated total energy: -5.50 eV per atom
# * energy of formation: 0.042 eV/atom

***

17.
# meta-GGA SCAN Na2Li3GaO4, PBEsol geometry
data_Na2Li3GaO4
_chemical_formula_sum 'Na8 Li12 Ga4 O16'
_space_group_name_H-M_alt 'P n n m'
_space_group_IT_number 58
_cell_length_a 7.920
_cell_length_b 8.215
_cell_length_c 6.499
_cell_angle_alpha 90.00
_cell_angle_beta 90.00
_cell_angle_gamma 90.00
loop_
_space_group_symop_operation_xyz
'x,y,z'
'-x,-y,-z'
'-x,-y,z'
'x,y,-z'
'x+1/2,-y+1/2,-z+1/2'
'-x+1/2,y+1/2,z+1/2'
'-x+1/2,y+1/2,-z+1/2'
'x+1/2,-y+1/2,z+1/2'
loop_
_atom_site_label
_atom_site_type_symbol
_atom_site_fract_x
_atom_site_fract_y
_atom_site_fract_z
Na1 Na 0.000 0.000 0.241
Na2 Na 0.241 0.247 0.500
Li1 Li 0.015 0.648 0.255
Li2 Li 0.235 0.583 0.500
Ga1 Ga 0.226 0.376 0.000
O1 O 0.049 0.222 0.000
O2 O 0.063 0.775 0.500
O3 O 0.197 0.490 0.242
# * ΔE_f (raw): -19.92 eV per formula unit
# * calculated total energy: -7.68 eV per atom

***

18.
# meta-GGA SCAN NaLiGa2Si4O12, PBEsol geometry
data_NaLiGa2Si4O12
_chemical_formula_sum 'Na2 Li2 Ga4 Si8 O24'
_space_group_name_H-M_alt 'C 1 2 1'
_space_group_IT_number 5
_cell_length_a 9.581
_cell_length_b 8.660
_cell_length_c 5.287
_cell_angle_alpha 90.00
_cell_angle_beta 108.85
_cell_angle_gamma 90.00
loop_
_space_group_symop_operation_xyz
'x,y,z'
'-x,y,-z'
'x+1/2,y+1/2,z'
'-x+1/2,y+1/2,-z'
loop_
_atom_site_label
_atom_site_type_symbol
_atom_site_fract_x
_atom_site_fract_y
_atom_site_fract_z
Na1 Na 0.000 0.000 0.000
Li1 Li 0.000 0.554 0.500
Ga1 Ga 0.000 0.198 0.500
Ga2 Ga 0.000 0.395 0.000
Si1 Si 0.205 0.705 0.004
Si2 Si 0.207 0.888 0.507
O1 O 0.111 0.380 0.389
O2 O 0.113 0.217 0.888
O3 O 0.134 0.536 0.923
O4 O 0.141 0.060 0.442
O5 O 0.145 0.789 0.227
O6 O 0.145 0.807 0.728
# * ΔE_f (raw): -54.26 eV per formula unit
# * calculated total energy: -10.42 eV per atom

***

19.
# meta-GGA SCAN NaLi3Ga4Si8O24, PBEsol geometry
data_NaLi3Ga4Si8O24
_chemical_formula_sum 'Na2 Li6 Ga8 Si16 O48'
_space_group_name_H-M_alt 'C 1 2 1'
_space_group_IT_number 5
_cell_length_a 11.650
_cell_length_b 8.635
_cell_length_c 9.573
_cell_angle_alpha 90.00
_cell_angle_beta 121.21
_cell_angle_gamma 90.00
loop_
_space_group_symop_operation_xyz
'x,y,z'
'-x,y,-z'
'x+1/2,y+1/2,z'
'-x+1/2,y+1/2,-z'
loop_
_atom_site_label
_atom_site_type_symbol
_atom_site_fract_x
_atom_site_fract_y
_atom_site_fract_z
Na1 Na 0.000 0.000 0.000
Li1 Li 0.000 0.461 0.500
Li2 Li 0.250 0.449 0.250
Ga1 Ga 0.000 0.107 0.500
Ga2 Ga 0.000 0.608 0.000
Ga3 Ga 0.250 0.305 0.749
Si1 Si 0.002 0.297 0.206
Si2 Si 0.002 0.798 0.704
Si3 Si 0.247 0.614 0.544
Si4 Si 0.249 0.615 0.955
O1 O 0.040 0.466 0.173
O2 O 0.040 0.969 0.674
O3 O 0.053 0.289 0.665
O4 O 0.056 0.787 0.171
O5 O 0.109 0.211 0.963
O6 O 0.109 0.717 0.468
O7 O 0.140 0.194 0.283
O8 O 0.142 0.701 0.785
O9 O 0.195 0.623 0.084
O10 O 0.197 0.121 0.583
O11 O 0.208 0.444 0.575
O12 O 0.222 0.942 0.080
# * ΔE_f (raw): -108.77 eV per formula unit
# * calculated total energy: -10.38 eV per atom